Rb2Pm2RhO6: relaxed, PBE.

Computed properties:
- total moment (μB/atom) = 0.10
- formation energy from raw total energies (meV/atom) = -2031

Cell and atoms, written as CIF:
```
data_Rb2Pm2RhO6
_space_group_name_H-M_alt 'P 1'
_space_group_IT_number 1
_cell_length_a 5.9303
_cell_length_b 5.9303
_cell_length_c 6.8965
_cell_angle_alpha 97.33
_cell_angle_beta 97.33
_cell_angle_gamma 119.42
loop_
_space_group_symop_operation_xyz
'x,y,z'
loop_
_atom_site_label
_atom_site_type_symbol
_atom_site_fract_x
_atom_site_fract_y
_atom_site_fract_z
_atom_site_occupancy
Pm1 Pm 0.6647 0.3353 0.5000 1
O1 O 0.0458 0.3503 0.6655 1
O2 O 0.6497 0.9542 0.3345 1
Rb1 Rb 0.1611 0.8389 0.0000 1
Rb2 Rb 0.8389 0.1611 0.0000 1
O3 O 0.7558 0.7558 0.6691 1
O4 O 0.2442 0.2442 0.3309 1
Pm2 Pm 0.3353 0.6647 0.5000 1
O5 O 0.3503 0.0458 0.6655 1
Rh1 Rh 0.0000 0.0000 0.5000 1
O6 O 0.9542 0.6497 0.3345 1
```